(1)
A relaxed TlSn2Pb10 crystal, computed with PBE.

```
TlSn2Pb10
1.0
0.000 8.154 8.175
3.203 0.000 8.175
3.203 8.154 0.000
Tl Sn Pb
1 2 10
Cartesian
0.000 0.000 0.000
1.602 4.077 0.000
1.602 4.077 8.175
1.602 0.000 4.088
3.203 2.907 5.330
3.203 6.396 6.461
3.203 2.907 11.020
3.203 6.396 9.890
1.602 8.154 4.088
3.203 9.912 6.461
3.203 13.401 5.330
3.203 9.912 9.890
3.203 13.401 11.020
```

Computed properties:
Formation energy   0.7 eV/f.u.
Theoretical density   9.77 g cm⁻³
Density of states at the Fermi level   5.077 states/eV/cell
Symmetry   Fmmm, No. 69



(2)
A relaxed TaWBr crystal, computed with PBE.

```
TaWBr
1.0
4.559 0.000 0.000
-2.280 3.949 0.000
0.000 0.000 2.950
Ta W Br
1 1 1
Cartesian
0.000 0.000 0.000
0.000 2.632 1.708
2.280 1.316 1.683
```

Computed properties:
Distance to the lowest polymorph of the same formula   209 meV per atom
Theoretical density   13.90 g cm⁻³
ΔE_f (raw)   0.784 eV per atom
Density of states at the Fermi level   1.874 states/eV/cell
Symmetry   P3m1, No. 156



(3)
A relaxed GdAgPdAu crystal, computed with PBE.

```
GdAgPdAu
1.0
6.865 0.000 0.000
0.000 6.865 0.000
0.000 0.000 6.865
Gd Ag Pd Au
4 4 4 4
Cartesian
0.000 0.000 0.000
0.000 3.432 3.432
3.432 0.000 3.432
3.432 3.432 0.000
0.000 0.000 3.432
0.000 3.432 0.000
3.432 0.000 0.000
3.432 3.432 3.432
1.716 1.716 1.716
1.716 5.149 5.149
5.149 1.716 5.149
5.149 5.149 1.716
1.716 1.716 5.149
1.716 5.149 1.716
5.149 1.716 1.716
5.149 5.149 5.149
```

Computed properties:
Formation energy   -2.3 eV/f.u.
Theoretical density   11.67 g cm⁻³
Density of states at the Fermi level   5.975 states/eV/cell
Symmetry   F-43m, No. 216



Question: Look up the theoretical density of the first one.
Answer: 9.77 g cm⁻³



Question: Which value of theoretical density does entry 2 give?
Answer: 13.90 g cm⁻³



Question: Which of these has the lowest theoretical density?
Answer: TlSn2Pb10